15
Lattice="-5.907 1.154 -1.563 -1.391 0.065 -7.060 -4.247 -5.780 -0.585" Properties=species:S:1:pos:R:3 comment="PBE-GGA DyPb4F10, optimized geometry" crystal_system=tetragonal raw_formation_energy_ev_per_atom=-2.663 magmom_total_mub_per_atom=0.000 energy_ev_per_atom=-5.206 pbc="T T T"
F -4.961 -5.116 -2.700
F -6.584 0.554 -6.509
F -1.492 -1.582 -0.834
F -3.210 -0.105 -5.616
F -10.053 -2.980 -8.375
F -7.249 -1.992 -4.995
F -4.865 -0.923 -1.727
F -6.679 -3.639 -7.482
F -8.334 -4.457 -3.593
F -4.296 -2.569 -4.214
Pb -8.960 -3.670 -5.951
Pb -2.585 -0.892 -3.258
Pb -6.371 -2.759 -2.693
Pb -5.173 -1.803 -6.516
Dy 0.000 0.000 0.000